First-principles (GGA-PBE) data for ErHgPtRh after structural relaxation, as listed in the Alexandria database.

Output
Density of states at the Fermi level in states/eV/f.u.: 1.06
Formation enthalpy at 0 K in meV/atom: -717
Total magnetic moment in μB/atom: 0.000

Unit cell a=3.8507 b=4.3546 c=4.3696 alpha=90.00 beta=90.00 gamma=90.00
Closest atoms and distances in Å follow each position.
Space group Pmmm (No. 47)
Asymmetric unit:
1 Er 0.0000 0.0000 0.0000 (multiplicity 1)  4 Rh 2.91, 4 Pt 2.91, 4 Hg 3.08
2 Hg 0.0000 0.5000 0.5000 (multiplicity 1)  4 Pt 2.91, 4 Rh 2.91, 4 Er 3.08
3 Pt 0.5000 0.0000 0.5000 (multiplicity 1)  4 Hg 2.91, 4 Er 2.91, 4 Rh 3.08
4 Rh 0.5000 0.5000 0.0000 (multiplicity 1)  4 Er 2.91, 4 Hg 2.91, 4 Pt 3.08